Record 1
Entry from Alexandria via LeMat-Bulk: a geometry-optimized Rb2TiOs3O12 structure (PBE-GGA).

The space-group type is R-3m, No. 166.

abc: 7.2523 7.2523 7.2523
angles: 60.01 60.01 60.01
Each line ends with the local moment (μB).
Positions (direct):
Rb (0.6242, 0.6242, 0.6242)  0.00
Rb (0.3758, 0.3758, 0.3758)  0.00
Ti (0.0000, 0.0000, 0.0000)  0.09
Os (0.5000, 0.0000, 0.0000)  0.59
Os (0.0000, 0.5000, 0.0000)  0.59
Os (0.0000, 0.0000, 0.5000)  0.59
O (0.3138, 0.3138, 0.9303)  0.01
O (0.9362, 0.9362, 0.3186)  0.15
O (0.3186, 0.9362, 0.9362)  0.15
O (0.9303, 0.3138, 0.3138)  0.01
O (0.9362, 0.3186, 0.9362)  0.15
O (0.3138, 0.9303, 0.3138)  0.01
O (0.6862, 0.6862, 0.0697)  0.01
O (0.0638, 0.0638, 0.6814)  0.15
O (0.6814, 0.0638, 0.0638)  0.15
O (0.0697, 0.6862, 0.6862)  0.01
O (0.0638, 0.6814, 0.0638)  0.15
O (0.6862, 0.0697, 0.6862)  0.01



Record 2
Entry from Alexandria via LeMat-Bulk: a geometry-optimized Rb2TiOsO6 structure (PBE-GGA).

The space-group type is I4/mmm, No. 139.

abc: 5.6284 5.6284 5.6324
angles: 119.95 119.95 90.02
Positions (direct):
Rb (0.7497, 0.2506, 0.4998)
Rb (0.2501, 0.7502, 0.4998)
Ti (0.4999, 0.5004, 0.9998)
Os (0.9999, 0.0004, 0.9998)
O (0.7545, 0.7550, 0.0000)
O (0.7553, 0.7558, 0.5104)
O (0.2453, 0.2458, 0.9996)
O (0.7547, 0.2456, 0.9998)
O (0.2445, 0.2450, 0.4892)
O (0.2451, 0.7552, 0.9998)



Record 3
Entry from Alexandria via LeMat-Bulk: a geometry-optimized Rb3Tl2OsO6 structure (PBE-GGA).

The space-group type is C2/m, No. 12.

abc: 6.4499 6.4499 6.5274
angles: 99.75 99.75 119.32
Each line ends with the local moment (μB).
Positions (direct):
Rb (0.1707, 0.8293, 0.5000)  0.00
Rb (0.8293, 0.1707, 0.5000)  0.00
Rb (0.5000, 0.5000, 0.5000)  0.00
Tl (0.3331, 0.6669, 0.0000)  0.00
Tl (0.6669, 0.3331, 0.0000)  0.00
Os (0.0000, 0.0000, 0.0000)  0.76
O (0.9407, 0.6909, 0.8202)  0.02
O (0.8171, 0.8171, 0.1817)  0.03
O (0.0593, 0.3091, 0.1798)  0.02
O (0.6909, 0.9407, 0.8202)  0.02
O (0.1830, 0.1830, 0.8183)  0.03
O (0.3091, 0.0593, 0.1798)  0.02



Record 4
Entry from Alexandria via LeMat-Bulk: a geometry-optimized Rb2Tl2OsO4 structure (PBE-GGA).

The space-group type is I4/mmm, No. 139.

abc: 6.3554 6.3554 6.3554
angles: 93.97 117.74 117.74
Each line ends with the local moment (μB).
Positions (direct):
Rb (0.5000, 0.7500, 0.2500)  0.00
Rb (0.5000, 0.2500, 0.7500)  0.00
Tl (0.0000, 0.6638, 0.6638)  0.01
Tl (0.0000, 0.3362, 0.3362)  0.01
Os (0.0000, 0.0000, 0.0000)  1.15
O (0.0000, 0.7930, 0.2070)  0.15
O (0.5861, 0.7930, 0.7930)  0.15
O (0.0000, 0.2070, 0.7930)  0.15
O (0.4139, 0.2070, 0.2070)  0.15



Record 5
Entry from Alexandria via LeMat-Bulk: a geometry-optimized RbTl2OsO structure (PBE-GGA).

The space-group type is P4/mmm, No. 123.

abc: 6.4946 5.1498 6.4946
angles: 90.00 90.00 90.00
Each line ends with the local moment (μB).
Positions (direct):
Tl (0.0000, 0.0000, 0.5000)  -0.05
Tl (0.5000, 0.0000, 0.0000)  -0.08
Os (0.0000, 0.5000, 0.0000)  1.58
O (0.5000, 0.5000, 0.5000)  0.94
Rb (0.0000, 0.0000, 0.0000)  -0.01



Record 6
Entry from Alexandria via LeMat-Bulk: a geometry-optimized RbTl2OsO4 structure (PBE-GGA).

The space-group type is I-4, No. 82.

abc: 5.9986 5.9986 5.9986
angles: 100.87 113.94 113.94
Each line ends with the local moment (μB).
Positions (direct):
Rb (0.5000, 0.2500, 0.7500)  0.00
Tl (0.5000, 0.7500, 0.2500)  0.01
Tl (0.0000, 0.0000, 0.0000)  0.01
Os (0.0000, 0.5000, 0.5000)  0.62
O (0.6044, 0.3496, 0.3306)  0.06
O (0.9810, 0.2548, 0.6504)  0.06
O (0.0190, 0.6694, 0.2738)  0.06
O (0.3956, 0.7262, 0.7452)  0.06



| no. | total energy (eV per cell) |
| --- | --- |
| 1 | -129.86 |
| 2 | -68.54 |
| 3 | -62.00 |
| 4 | -44.67 |
| 5 | -11.07 |
| 6 | -44.08 |